The following is a GGA-PBE calculation of a relaxed La2TeMo crystal, from Alexandria.

CIF file:
```
data_La2TeMo
_space_group_name_H-M_alt 'I m m 2'
_space_group_IT_number 44
_space_group_name_Hall 'I 2 -2'
_cell_length_a 3.685
_cell_length_b 4.981
_cell_length_c 11.998
_cell_angle_alpha 90.00
_cell_angle_beta 90.00
_cell_angle_gamma 90.00
loop_
_atom_site_label
_atom_site_type_symbol
_atom_site_fract_x
_atom_site_fract_y
_atom_site_fract_z
_atom_site_occupancy
La1 La 0.000 0.000 0.000 1
La2 La 0.000 0.500 0.221 1
Te1 Te 0.000 0.000 0.413 1
Mo1 Mo 0.000 0.500 0.738 1
```

Calculated values
Calculated total energy, eV/atom: -6.196